{"formula": "YNiS2N", "functional": "GGA-PBE", "state": "optimized geometry", "lattice": [[-3.538, -0.472, 3.000], [-0.344, -4.514, -1.116], [2.322, -0.821, 2.608]], "species": ["Y", "Ni", "S", "S", "N"], "fractional_positions": [[0.500, 0.500, 0.500], [0.000, 0.000, 0.000], [0.000, 0.500, 0.000], [0.500, 0.000, 0.000], [0.000, 0.000, 0.500]], "raw_formation_energy_kj_per_mol_fu": -224.1, "e_tot_ev_per_atom": -6.23, "space_group": "No. 123", "volume_a3_per_atom": 15.59, "relative_energy_mev_per_atom": 0.0}

=====

{"formula": "YNiSN2", "functional": "GGA-PBE", "state": "optimized geometry", "lattice": [[-1.207, -0.349, -3.638], [-3.608, -0.500, 1.245], [-0.683, 4.438, -0.199]], "species": ["Y", "Ni", "S", "N", "N"], "fractional_positions": [[0.500, 0.500, 0.500], [0.000, 0.000, 0.000], [0.000, 0.000, 0.500], [0.000, 0.500, 0.000], [0.500, 0.000, 0.000]], "raw_formation_energy_kj_per_mol_fu": 36.6, "e_tot_ev_per_atom": -6.53, "space_group": "No. 123", "volume_a3_per_atom": 13.32, "relative_energy_mev_per_atom": 0.0}

=====

{"formula": "YNiSN2", "functional": "GGA-PBE", "state": "optimized geometry", "lattice": [[-3.853, 1.561, 1.386], [-0.957, -3.907, 1.738], [2.291, 1.513, 4.663]], "species": ["Y", "Ni", "S", "N", "N"], "fractional_positions": [[0.000, 0.000, 0.000], [0.500, 0.500, 0.500], [0.000, 0.000, 0.500], [0.000, 0.500, 0.000], [0.500, 0.000, 0.000]], "raw_formation_energy_kj_per_mol_fu": 560.6, "e_tot_ev_per_atom": -5.44, "space_group": "No. 123", "volume_a3_per_atom": 20.78, "relative_energy_mev_per_atom": 1086.2}

=====

{"formula": "ZnNiS2N", "functional": "GGA-PBE", "state": "optimized geometry", "lattice": [[-3.473, 3.198, 0.562], [-3.201, -3.235, -1.377], [-0.387, -0.985, 3.215]], "species": ["Ni", "Zn", "S", "S", "N"], "fractional_positions": [[0.000, 0.000, 0.000], [0.500, 0.500, 0.500], [0.000, 0.500, 0.000], [0.500, 0.000, 0.000], [0.000, 0.000, 0.500]], "raw_formation_energy_kj_per_mol_fu": 278.7, "e_tot_ev_per_atom": -4.15, "space_group": "No. 123", "volume_a3_per_atom": 15.30, "relative_energy_mev_per_atom": 0.0}

=====

{"formula": "ZnNiS2N", "functional": "GGA-PBE", "state": "optimized geometry", "lattice": [[4.760, 0.000, 0.000], [0.000, 4.760, 0.000], [0.000, 0.000, 3.620]], "species": ["Ni", "Zn", "S", "S", "N"], "fractional_positions": [[0.500, 0.500, 0.500], [0.000, 0.000, 0.000], [0.000, 0.500, 0.000], [0.500, 0.000, 0.000], [0.000, 0.000, 0.500]], "raw_formation_energy_kj_per_mol_fu": 629.6, "e_tot_ev_per_atom": -3.42, "space_group": "No. 123", "volume_a3_per_atom": 16.41, "relative_energy_mev_per_atom": 727.5}

=====

{"formula": "ZrNiS2N", "functional": "GGA-PBE", "state": "optimized geometry", "lattice": [[4.563, 0.000, 0.000], [0.000, 4.563, 0.000], [0.000, 0.000, 3.536]], "species": ["Ni", "S", "S", "Zr", "N"], "fractional_positions": [[0.000, 0.000, 0.000], [0.000, 0.500, 0.000], [0.500, 0.000, 0.000], [0.500, 0.500, 0.500], [0.000, 0.000, 0.500]], "raw_formation_energy_kj_per_mol_fu": -10.5, "e_tot_ev_per_atom": -6.20, "space_group": "No. 123", "volume_a3_per_atom": 14.72, "relative_energy_mev_per_atom": 0.0}

=====

{"formula": "ZrNiS2N", "functional": "GGA-PBE", "state": "optimized geometry", "lattice": [[-4.874, 0.975, -0.805], [-1.119, -4.819, 0.936], [-0.482, 0.888, 3.996]], "species": ["Ni", "S", "S", "Zr", "N"], "fractional_positions": [[0.500, 0.500, 0.500], [0.000, 0.500, 0.000], [0.500, 0.000, 0.000], [0.000, 0.000, 0.000], [0.000, 0.000, 0.500]], "raw_formation_energy_kj_per_mol_fu": 172.7, "e_tot_ev_per_atom": -5.82, "space_group": "No. 123", "volume_a3_per_atom": 20.90, "relative_energy_mev_per_atom": 379.7}

=====

{"formula": "NiSb2N", "functional": "GGA-PBE", "state": "optimized geometry", "lattice": [[3.502, 0.396, -0.125], [0.550, 16.371, -5.435], [-0.127, -8.774, 5.309]], "species": ["Ni", "Ni", "Sb", "Sb", "Sb", "Sb", "N", "N"], "fractional_positions": [[0.241, 0.869, 0.502], [0.814, 0.317, 0.602], [0.835, 0.743, 0.502], [0.426, 0.000, 0.233], [0.221, 0.443, 0.602], [0.630, 0.186, 0.871], [0.650, 0.742, 0.011], [0.406, 0.444, 0.093]], "raw_formation_energy_kj_per_mol_fu": 113.2, "e_tot_ev_per_atom": -5.29, "space_group": "No. 2", "volume_a3_per_atom": 17.10}

=====

{"formula": "NiSb2N", "functional": "GGA-PBE", "state": "optimized geometry", "lattice": [[-0.715, -2.415, 4.835], [2.428, -4.501, -1.889], [5.549, -1.606, 3.091]], "species": ["Sb", "Sb", "Sb", "Sb", "N", "N", "Ni", "Ni"], "fractional_positions": [[0.597, 0.125, 0.250], [0.153, 0.625, 0.250], [0.375, 0.403, 0.750], [0.875, 0.847, 0.750], [0.500, 0.500, 0.000], [0.250, 0.750, 0.500], [0.000, 0.000, 0.000], [0.750, 0.250, 0.500]], "raw_formation_energy_kj_per_mol_fu": 133.9, "e_tot_ev_per_atom": -5.24, "space_group": "No. 122", "volume_a3_per_atom": 19.68}

=====

{"formula": "NiSbN2", "functional": "GGA-PBE", "state": "optimized geometry", "lattice": [[0.791, -2.239, 5.723], [3.765, -1.847, 4.561], [2.165, 0.669, 5.767]], "species": ["Sb", "N", "N", "Ni"], "fractional_positions": [[0.500, 0.500, 0.500], [0.896, 0.896, 0.896], [0.104, 0.104, 0.104], [0.000, 0.000, 0.000]], "raw_formation_energy_kj_per_mol_fu": 205.5, "e_tot_ev_per_atom": -6.11, "space_group": "No. 166", "volume_a3_per_atom": 13.24}

=====

{"formula": "Ni4Sb2N", "functional": "GGA-PBE", "state": "optimized geometry", "lattice": [[-2.364, -2.899, 0.590], [1.860, -2.044, -2.589], [3.937, -4.888, 3.917]], "species": ["Sb", "Sb", "N", "Ni", "Ni", "Ni", "Ni"], "fractional_positions": [[0.671, 0.671, 0.658], [0.329, 0.329, 0.342], [0.000, 0.000, 0.000], [0.864, 0.864, 0.273], [0.136, 0.136, 0.727], [0.000, 0.500, 0.000], [0.500, 0.000, 0.000]], "raw_formation_energy_kj_per_mol_fu": -17.5, "e_tot_ev_per_atom": -5.70, "space_group": "No. 139", "volume_a3_per_atom": 14.13}

=====

{"formula": "Ni3SbN", "functional": "GGA-PBE", "state": "optimized geometry", "lattice": [[-0.756, 1.186, -4.455], [3.686, -2.557, -1.306], [-2.770, -3.726, -0.521]], "species": ["Sb", "N", "Ni", "Ni", "Ni"], "fractional_positions": [[0.000, 0.000, 0.000], [0.500, 0.500, 0.500], [0.000, 0.500, 0.000], [0.000, 0.000, 0.500], [0.500, 0.000, 0.000]], "raw_formation_energy_kj_per_mol_fu": 933.8, "e_tot_ev_per_atom": -4.02, "space_group": "No. 221", "volume_a3_per_atom": 20.40, "relative_energy_mev_per_atom": 1874.7}